(1)
## Al2ZnTe (meta-GGA SCAN)

Data for Al2ZnTe at its PBEsol-relaxed geometry.

Space-group type ... No. 216
ΔE_f (raw) ... 0.3391 eV per atom
Calculated volume ... 20.02 A^3/atom
Electronic total energy ... -64.9 eV/f.u.

a = 4.8382 Å, b = 4.8382 Å, c = 4.8382 Å
α = 60.00°, β = 60.00°, γ = 60.00°
Fractional positions:
Al 0.0000 0.0000 0.0000
Al 0.2500 0.2500 0.2500
Zn 0.7500 0.7500 0.7500
Te 0.5000 0.5000 0.5000

=====

(2)
## Al3ZnTe (meta-GGA SCAN)

Data for Al3ZnTe at its PBEsol-relaxed geometry.

Space-group type ... No. 221
ΔE_f (raw) ... 0.2885 eV per atom
Calculated volume ... 21.72 A^3/atom
Electronic total energy ... -72.6 eV/f.u.

a = 4.7710 Å, b = 4.7710 Å, c = 4.7710 Å
α = 90.00°, β = 90.00°, γ = 90.00°
Fractional positions:
Al 0.0000 0.0000 0.5000
Al 0.0000 0.5000 0.0000
Al 0.5000 0.0000 0.0000
Zn 0.0000 0.0000 0.0000
Te 0.5000 0.5000 0.5000

=====

(3)
## ZrAlTe2 (meta-GGA SCAN)

Data for ZrAlTe2 at its PBEsol-relaxed geometry.

Space-group type ... No. 166
ΔE_f (raw) ... -0.3325 eV per atom
Calculated volume ... 28.26 A^3/atom
Electronic total energy ... -114.3 eV/f.u.

a = 9.7754 Å, b = 9.7754 Å, c = 9.7754 Å
α = 21.81°, β = 21.81°, γ = 21.81°
Fractional positions:
Zr 0.0000 0.0000 0.0000
Al 0.5000 0.5000 0.5000
Te 0.3995 0.3995 0.3995
Te 0.6005 0.6005 0.6005

=====

(4)
## Zr2AlTe (meta-GGA SCAN)

Data for Zr2AlTe at its PBEsol-relaxed geometry.

Space-group type ... No. 12
ΔE_f (raw) ... -0.4669 eV per atom
Calculated volume ... 20.67 A^3/atom
Energy above the most stable polymorph in this dataset ... 0.000 eV/atom
Electronic total energy ... -108.3 eV/f.u.

a = 5.0087 Å, b = 5.0087 Å, c = 3.4160 Å
α = 95.41°, β = 95.41°, γ = 102.60°
Fractional positions:
Zr 0.0000 0.5000 0.0000
Zr 0.5000 0.0000 0.0000
Al 0.0000 0.0000 0.5000
Te 0.5000 0.5000 0.5000